First-principles (PBE) data for a geometry-optimized Nd2ScGe2 structure, as listed in the Alexandria database.

Output
- Volume: 25.26 Å³/atom
- Calculated density: 6.29 g/cm³
- DOS at the Fermi energy: 3.7 states/eV/f.u.
- Energy relative to the lowest polymorph listed for this composition: 0.000 eV/atom
- M_tot: 0.00 μB per cell
- VASP energy: -5.790 eV/atom
- Energy of formation from the pure elements: -769.9 meV per atom

Cell lengths 4.3848, 6.4546, 9.8018 Å; angles 79.52, 77.08, 70.14 degrees
Fractional positions:
Nd  0.3176  0.2691  0.0957
Nd  0.4863  0.3429  0.6846
Nd  0.6824  0.7309  0.9043
Nd  0.5137  0.6571  0.3154
Sc  0.7754  0.0783  0.3710
Sc  0.2246  0.9217  0.6290
Ge  0.9897  0.1354  0.8851
Ge  0.1259  0.3112  0.4370
Ge  0.0103  0.8646  0.1149
Ge  0.8741  0.6888  0.5630